Here is an optimized crystal structure of Ba2TaAs from Alexandria via LeMat-Bulk. Energies are from GGA-PBE.

Cell: 12.393 3.825 5.925 Å, 90.00 113.03 90.00°
Space group Cm (No. 8)
Asymmetric unit:
Ba 0.000 0.000 0.000 [2 per cell]
Ba 0.185 0.000 0.645 [2 per cell]
Ta 0.292 0.500 0.246 [2 per cell]
As 0.428 0.000 0.464 [2 per cell]

Fermi-level density of states (states/eV per atom): 1.1617
Calculated density (g/cm³): 6.8
Total magnetization (μB per atom): 0.001
Energy of formation (eV per atom): 0.09

Here is an optimized crystal structure of Ba2TaAs from Alexandria via LeMat-Bulk. Energies are from GGA-PBE.

Cell: 4.238 4.238 7.304 Å, 90.00 90.00 90.00°
Space group P4/mmm (No. 123)
Asymmetric unit:
Ba 0.000 0.000 0.228 [2 per cell]
Ta 0.500 0.500 0.500 [1 per cell]
As 0.500 0.500 0.000 [1 per cell]

Fermi-level density of states (states/eV per atom): 0.8340
Calculated density (g/cm³): 6.7
Total magnetization (μB per atom): 0.912
Energy of formation (eV per atom): 0.47

Here is an optimized crystal structure of BaTa2AsW from Alexandria via LeMat-Bulk. Energies are from GGA-PBE.

Cell: 5.084 5.084 5.109 Å, 90.00 90.00 90.00°
Space group P4/mmm (No. 123)
Asymmetric unit:
Ba 0.000 0.000 0.000 [1 per cell]
Ta 0.000 0.500 0.000 [2 per cell]
As 0.000 0.000 0.500 [1 per cell]
W 0.500 0.500 0.500 [1 per cell]

Fermi-level density of states (states/eV per atom): 2.0965
Calculated density (g/cm³): 9.5
Total magnetization (μB per atom): 0.001
Energy of formation (eV per atom): 3.44

Here is an optimized crystal structure of BaTbAs from Alexandria via LeMat-Bulk. Energies are from GGA-PBE.

Cell: 4.682 4.682 17.336 Å, 90.00 90.00 90.00°
Space group I4/mmm (No. 139)
Asymmetric unit:
Ba 0.000 0.000 0.180 [4 per cell]
Tb 0.000 0.500 0.000 [4 per cell]
As 0.000 0.000 0.384 [4 per cell]

Fermi-level density of states (states/eV per atom): 0.9727
Calculated density (g/cm³): 6.5
Total magnetization (μB per atom): 0.024
Energy of formation (eV per atom): -0.89

Here is an optimized crystal structure of Ba3TbTh2As6 from Alexandria via LeMat-Bulk. Energies are from GGA-PBE.

Cell: 7.640 13.241 7.962 Å, 90.00 108.67 90.00°
Space group C2/m (No. 12)
Asymmetric unit:
Ba 0.000 0.000 0.000 [2 per cell]
Ba 0.000 0.334 0.000 [4 per cell]
Tb 0.000 0.500 0.500 [2 per cell]
Th 0.000 0.167 0.500 [4 per cell]
As 0.237 0.334 0.712 [8 per cell]
As 0.238 0.000 0.712 [4 per cell]

Fermi-level density of states (states/eV per atom): 0.8885
Calculated density (g/cm³): 6.5
Total magnetization (μB per atom): 0.000
Energy of formation (eV per atom): -1.26

Here is an optimized crystal structure of Ba2TbThAs4 from Alexandria via LeMat-Bulk. Energies are from GGA-PBE.

Cell: 7.598 4.414 7.949 Å, 90.00 108.74 90.00°
Space group P2/m (No. 10)
Asymmetric unit:
Ba 0.000 0.000 0.000 [1 per cell]
Ba 0.500 0.500 0.000 [1 per cell]
Tb 0.000 0.500 0.500 [1 per cell]
Th 0.500 0.000 0.500 [1 per cell]
As 0.235 0.000 0.711 [2 per cell]
As 0.261 0.500 0.288 [2 per cell]

Fermi-level density of states (states/eV per atom): 0.9281
Calculated density (g/cm³): 6.4
Total magnetization (μB per atom): 0.000
Energy of formation (eV per atom): -1.23

Here is an optimized crystal structure of Ba3Tb2UAs6 from Alexandria via LeMat-Bulk. Energies are from GGA-PBE.

Cell: 7.482 12.953 7.883 Å, 90.00 108.42 90.00°
Space group C2/m (No. 12)
Asymmetric unit:
Ba 0.000 0.000 0.000 [2 per cell]
Ba 0.000 0.329 0.000 [4 per cell]
Tb 0.000 0.166 0.500 [4 per cell]
U 0.000 0.500 0.500 [2 per cell]
As 0.226 0.342 0.703 [8 per cell]
As 0.247 0.500 0.295 [4 per cell]

Calculated density (g/cm³): 6.5
Total magnetization (μB per atom): 0.000
Energy of formation (eV per atom): -1.16

Here is an optimized crystal structure of BaTc2As from Alexandria via LeMat-Bulk. Energies are from GGA-PBE.

Cell: 6.275 9.177 3.102 Å, 90.00 118.84 90.00°
Space group C2/m (No. 12)
Asymmetric unit:
Ba 0.000 0.000 0.000 [2 per cell]
Tc 0.250 0.250 0.000 [4 per cell]
As 0.000 0.500 0.000 [2 per cell]

Fermi-level density of states (states/eV per atom): 1.1356
Calculated density (g/cm³): 8.7
Total magnetization (μB per atom): 0.000
Energy of formation (eV per atom): 0.94

Here is an optimized crystal structure of BaTcAs2 from Alexandria via LeMat-Bulk. Energies are from GGA-PBE.

Cell: 4.228 6.387 7.785 Å, 90.00 90.00 90.00°
Space group Immm (No. 71)
Asymmetric unit:
Ba 0.000 0.000 0.000 [2 per cell]
Tc 0.000 0.000 0.500 [2 per cell]
As 0.000 0.500 0.166 [4 per cell]

Fermi-level density of states (states/eV per atom): 0.8748
Calculated density (g/cm³): 6.1
Total magnetization (μB per atom): 0.000
Energy of formation (eV per atom): -0.16

Here is an optimized crystal structure of BaTc2As from Alexandria via LeMat-Bulk. Energies are from GGA-PBE.

Cell: 4.2672 4.2672 18.1879 Å, 90.00 90.00 120.00°
Space group R3m (No. 160, hexagonal axes)
Asymmetric unit:
Ba 0.0000 0.0000 0.0000 [3 per cell]
Tc 0.0000 0.0000 0.1962 [3 per cell]
Tc 0.0000 0.0000 0.5020 [3 per cell]
As 0.0000 0.0000 0.7955 [3 per cell]

Fermi-level density of states (states/eV per atom): 0.4392
Calculated density (g/cm³): 7.1
Total magnetization (μB per atom): 0.000
Energy of formation (eV per atom): -0.16

Here is an optimized crystal structure of BaTcAs2 from Alexandria via LeMat-Bulk. Energies are from GGA-PBE.

Cell: 4.895 4.895 4.037 Å, 90.00 90.00 90.00°
Space group P4/mmm (No. 123)
Asymmetric unit:
Ba 0.000 0.000 0.000 [1 per cell]
Tc 0.500 0.500 0.000 [1 per cell]
As 0.000 0.500 0.500 [2 per cell]

Fermi-level density of states (states/eV per atom): 1.1896
Calculated density (g/cm³): 6.6
Total magnetization (μB per atom): 0.756
Energy of formation (eV per atom): 0.47

Here is an optimized crystal structure of BaTc2As from Alexandria via LeMat-Bulk. Energies are from GGA-PBE.

Cell: 6.901 6.901 6.901 Å, 90.00 90.00 90.00°
Space group F-43m (No. 216)
Asymmetric unit:
Ba 0.000 0.000 0.000 [4 per cell]
Tc 0.000 0.000 0.500 [4 per cell]
Tc 0.250 0.250 0.750 [4 per cell]
As 0.250 0.250 0.250 [4 per cell]

Fermi-level density of states (states/eV per atom): 1.2137
Calculated density (g/cm³): 8.3
Total magnetization (μB per atom): 0.338
Energy of formation (eV per atom): 0.91